(1)
# Cs2Th2Se5

Cs2Th2Se5 after structural relaxation (GGA-PBE, OQMD via LeMat-Bulk).

electronic total energy = -97.5 eV/cell
size of the total moment = 0.0 μB per formula unit
calculated density = 6.21 g cm⁻³
symmetry = Cmce, No. 64

Cell lengths 9.732, 9.732, 8.264 Å; angles 90.00, 90.00, 50.19 degrees
Sites, in units of the cell vectors:
Cs: 0.295 0.295 0.000
Cs: 0.705 0.705 0.000
Cs: 0.205 0.205 0.500
Cs: 0.795 0.795 0.500
Se: 0.500 0.500 0.000
Se: 0.038 0.753 0.143
Se: 0.247 0.962 0.143
Se: 0.538 0.253 0.357
Se: 0.747 0.462 0.357
Se: 0.000 0.000 0.500
Se: 0.253 0.538 0.643
Se: 0.462 0.747 0.643
Se: 0.753 0.038 0.857
Se: 0.962 0.247 0.857
Th: 0.836 0.164 0.164
Th: 0.336 0.664 0.336
Th: 0.664 0.336 0.664
Th: 0.164 0.836 0.836

(2)
# CsTmTlSe3

CsTmTlSe3 after structural relaxation (GGA-PBE, OQMD via LeMat-Bulk).

electronic total energy = -49.6 eV/cell
size of the total moment = 0.0 μB per formula unit
excess energy over the best structure of this formula in the dataset = 0.072 eV/atom
calculated density = 6.03 g cm⁻³
symmetry = Cmcm, No. 63

Cell lengths 8.559, 8.559, 11.629 Å; angles 90.00, 90.00, 151.31 degrees
Sites, in units of the cell vectors:
Cs: 0.727 0.273 0.250
Cs: 0.273 0.727 0.750
Se: 0.384 0.616 0.012
Se: 0.038 0.962 0.250
Se: 0.384 0.616 0.488
Se: 0.616 0.384 0.512
Se: 0.962 0.038 0.750
Se: 0.616 0.384 0.988
Tl: 0.424 0.576 0.250
Tl: 0.576 0.424 0.750
Tm: 0.000 0.000 0.000
Tm: 0.000 0.000 0.500

(3)
# CsTmTlSe3

CsTmTlSe3 after structural relaxation (GGA-PBE, OQMD via LeMat-Bulk).

electronic total energy = -101.0 eV/cell
size of the total moment = 0.0 μB per formula unit
excess energy over the best structure of this formula in the dataset = 0.000 eV/atom
calculated density = 5.99 g cm⁻³
symmetry = Pnma, No. 62

Cell lengths 16.417, 4.166, 12.047 Å; angles 90.00, 90.00, 90.00 degrees
Sites, in units of the cell vectors:
Cs: 0.269 0.750 0.062
Cs: 0.769 0.750 0.438
Cs: 0.231 0.250 0.562
Cs: 0.731 0.250 0.938
Se: 0.094 0.250 0.053
Se: 0.620 0.750 0.184
Se: 0.900 0.250 0.244
Se: 0.400 0.250 0.256
Se: 0.120 0.750 0.316
Se: 0.594 0.250 0.447
Se: 0.406 0.750 0.553
Se: 0.880 0.250 0.684
Se: 0.600 0.750 0.744
Se: 0.100 0.750 0.756
Se: 0.380 0.250 0.816
Se: 0.906 0.750 0.947
Tl: 0.523 0.250 0.100
Tl: 0.023 0.250 0.400
Tl: 0.977 0.750 0.600
Tl: 0.477 0.750 0.900
Tm: 0.997 0.750 0.142
Tm: 0.497 0.750 0.358
Tm: 0.503 0.250 0.642
Tm: 0.003 0.250 0.858

Question: Which value of size of the total moment does entry 2 give?
Answer: 0.0 μB per formula unit

Copy entry 1 word for word.
# Cs2Th2Se5

Cs2Th2Se5 after structural relaxation (GGA-PBE, OQMD via LeMat-Bulk).

electronic total energy = -97.5 eV/cell
size of the total moment = 0.0 μB per formula unit
calculated density = 6.21 g cm⁻³
symmetry = Cmce, No. 64

Cell lengths 9.732, 9.732, 8.264 Å; angles 90.00, 90.00, 50.19 degrees
Sites, in units of the cell vectors:
Cs: 0.295 0.295 0.000
Cs: 0.705 0.705 0.000
Cs: 0.205 0.205 0.500
Cs: 0.795 0.795 0.500
Se: 0.500 0.500 0.000
Se: 0.038 0.753 0.143
Se: 0.247 0.962 0.143
Se: 0.538 0.253 0.357
Se: 0.747 0.462 0.357
Se: 0.000 0.000 0.500
Se: 0.253 0.538 0.643
Se: 0.462 0.747 0.643
Se: 0.753 0.038 0.857
Se: 0.962 0.247 0.857
Th: 0.836 0.164 0.164
Th: 0.336 0.664 0.336
Th: 0.664 0.336 0.664
Th: 0.164 0.836 0.836

Repeat the third record exactly.
# CsTmTlSe3

CsTmTlSe3 after structural relaxation (GGA-PBE, OQMD via LeMat-Bulk).

electronic total energy = -101.0 eV/cell
size of the total moment = 0.0 μB per formula unit
excess energy over the best structure of this formula in the dataset = 0.000 eV/atom
calculated density = 5.99 g cm⁻³
symmetry = Pnma, No. 62

Cell lengths 16.417, 4.166, 12.047 Å; angles 90.00, 90.00, 90.00 degrees
Sites, in units of the cell vectors:
Cs: 0.269 0.750 0.062
Cs: 0.769 0.750 0.438
Cs: 0.231 0.250 0.562
Cs: 0.731 0.250 0.938
Se: 0.094 0.250 0.053
Se: 0.620 0.750 0.184
Se: 0.900 0.250 0.244
Se: 0.400 0.250 0.256
Se: 0.120 0.750 0.316
Se: 0.594 0.250 0.447
Se: 0.406 0.750 0.553
Se: 0.880 0.250 0.684
Se: 0.600 0.750 0.744
Se: 0.100 0.750 0.756
Se: 0.380 0.250 0.816
Se: 0.906 0.750 0.947
Tl: 0.523 0.250 0.100
Tl: 0.023 0.250 0.400
Tl: 0.977 0.750 0.600
Tl: 0.477 0.750 0.900
Tm: 0.997 0.750 0.142
Tm: 0.497 0.750 0.358
Tm: 0.503 0.250 0.642
Tm: 0.003 0.250 0.858